Entry 1:
{
  "formula": "BaSn2BrO",
  "functional": "PBE",
  "state": "optimized geometry",
  "total_magnetization_mub_per_fu": 0.72,
  "dos_at_fermi_per_ev_fu": 7.67,
  "raw_formation_energy_ev_per_atom": 0.157,
  "sg": "P4/mmm",
  "lattice_angstrom": [[6.656, 0.000, 0.000], [0.000, 6.656, 0.000], [0.000, 0.000, 4.596]],
  "species": ["Ba", "Sn", "Sn", "Br", "O"],
  "frac_coords": [[0.000, 0.000, 0.000], [0.000, 0.500, 0.000], [0.500, 0.000, 0.000], [0.500, 0.500, 0.500], [0.000, 0.000, 0.500]]
}


Entry 2:
{
  "formula": "Ba2SnBr2O2",
  "functional": "PBE",
  "state": "optimized geometry",
  "total_magnetization_mub_per_fu": 0.00,
  "raw_formation_energy_ev_per_atom": -1.927,
  "sg": "C2/m",
  "lattice_angstrom": [[6.717, -2.145, 0.000], [6.717, 2.145, 0.000], [-4.272, 0.000, 7.008]],
  "species": ["Ba", "Ba", "Sn", "Br", "Br", "O", "O"],
  "frac_coords": [[0.198, 0.198, 0.264], [0.802, 0.802, 0.736], [0.000, 0.000, 0.500], [0.431, 0.431, 0.154], [0.569, 0.569, 0.846], [0.185, 0.185, 0.569], [0.815, 0.815, 0.431]]
}


Number 1 is which compound? BaSn2BrO


What is the formula in the second record? Ba2SnBr2O2


Please write out number 2 again, unchanged.
{
  "formula": "Ba2SnBr2O2",
  "functional": "PBE",
  "state": "optimized geometry",
  "total_magnetization_mub_per_fu": 0.00,
  "raw_formation_energy_ev_per_atom": -1.927,
  "sg": "C2/m",
  "lattice_angstrom": [[6.717, -2.145, 0.000], [6.717, 2.145, 0.000], [-4.272, 0.000, 7.008]],
  "species": ["Ba", "Ba", "Sn", "Br", "Br", "O", "O"],
  "frac_coords": [[0.198, 0.198, 0.264], [0.802, 0.802, 0.736], [0.000, 0.000, 0.500], [0.431, 0.431, 0.154], [0.569, 0.569, 0.846], [0.185, 0.185, 0.569], [0.815, 0.815, 0.431]]
}